## w
The following is a DFT calculation (PBE) of a relaxed structure of SrPb2Cl.

Lattice parameters (Å, degrees): 5.6646 5.6646 3.9394 90.00 90.00 90.00
Space group P4/mmm (No. 123)
Unique sites:
Sr (0.0000, 0.0000, 0.0000) (multiplicity 1)
Pb (0.0000, 0.5000, 0.5000) (multiplicity 2)
Cl (0.5000, 0.5000, 0.0000) (multiplicity 1)

Calculated values
Density of states at the Fermi level ... 3.05 states/eV per cell

***

## x
The following is a DFT calculation (PBE) of a relaxed structure of SrPb2Cl.

Lattice parameters (Å, degrees): 4.3770 4.3876 6.7496 90.00 90.00 90.00
Space group Pmmm (No. 47)
Unique sites:
Sr (0.0000, 0.0000, 0.0000) (multiplicity 1)
Pb (0.0000, 0.5000, 0.5000) (multiplicity 1)
Pb (0.5000, 0.0000, 0.5000) (multiplicity 1)
Cl (0.5000, 0.5000, 0.0000) (multiplicity 1)

Calculated values
Density of states at the Fermi level ... 2.85 states/eV per cell

***

## y
The following is a DFT calculation (PBE) of a relaxed structure of SrPb2Cl.

Lattice parameters (Å, degrees): 8.4479 4.8636 7.2653 90.00 112.66 90.00
Space group Cm (No. 8)
Unique sites:
Sr (0.0000, 0.0000, 0.0000) (multiplicity 2)
Pb (0.2163, 0.0000, 0.6489) (multiplicity 2)
Pb (0.4900, 0.0000, 0.4705) (multiplicity 2)
Cl (0.2027, 0.5000, 0.1074) (multiplicity 2)

Calculated values
Density of states at the Fermi level ... 4.44 states/eV per cell

***

Least stable = w

***

## w
The following is a DFT calculation (PBE) of a relaxed structure of SrPb2Cl.

Lattice parameters (Å, degrees): 4.3067 6.0333 10.1844 90.00 90.00 90.00
Space group Cmmm (No. 65)
Unique sites:
Sr (0.0000, 0.0000, 0.0000) (multiplicity 2)
Pb (0.0000, 0.5000, 0.2808) (multiplicity 4)
Cl (0.0000, 0.0000, 0.5000) (multiplicity 2)

Calculated values
Density of states at the Fermi level ... 8.44 states/eV per cell

***

## x
The following is a DFT calculation (PBE) of a relaxed structure of SrPb2Cl.

Lattice parameters (Å, degrees): 3.8067 3.8067 31.5769 90.00 90.00 120.00
Space group R-3m (No. 166, hexagonal axes)
Unique sites:
Sr (0.0000, 0.0000, 0.0000) (multiplicity 3)
Pb (0.0000, 0.0000, 0.2397) (multiplicity 6)
Cl (0.0000, 0.0000, 0.5000) (multiplicity 3)

Calculated values
Density of states at the Fermi level ... 12.73 states/eV per cell

***

## y
The following is a DFT calculation (PBE) of a relaxed structure of SrPb2Cl.

Lattice parameters (Å, degrees): 3.7004 4.5907 15.6537 90.00 90.00 90.00
Space group Immm (No. 71)
Unique sites:
Sr (0.0000, 0.0000, 0.0000) (multiplicity 2)
Pb (0.0000, 0.5000, 0.2981) (multiplicity 4)
Cl (0.0000, 0.0000, 0.5000) (multiplicity 2)

Calculated values
Density of states at the Fermi level ... 2.83 states/eV per cell

***

Least stable = w

***

## w
The following is a DFT calculation (PBE) of a relaxed structure of SrPb2Cl.

Lattice parameters (Å, degrees): 8.0048 8.0048 8.0048 90.00 90.00 90.00
Space group Fm-3m (No. 225)
Unique sites:
Sr (0.0000, 0.0000, 0.0000) (multiplicity 4)
Pb (0.2500, 0.2500, 0.2500) (multiplicity 8)
Cl (0.0000, 0.0000, 0.5000) (multiplicity 4)

Calculated values
Density of states at the Fermi level ... 9.96 states/eV per cell

***

## x
The following is a DFT calculation (PBE) of a relaxed structure of SrPb2Cl.

Lattice parameters (Å, degrees): 7.8640 7.8640 7.8640 90.00 90.00 90.00
Space group F-43m (No. 216)
Unique sites:
Sr (0.0000, 0.0000, 0.0000) (multiplicity 4)
Pb (0.0000, 0.0000, 0.5000) (multiplicity 4)
Pb (0.2500, 0.2500, 0.2500) (multiplicity 4)
Cl (0.2500, 0.2500, 0.7500) (multiplicity 4)

Calculated values
Density of states at the Fermi level ... 6.99 states/eV per cell

***

## y
The following is a DFT calculation (PBE) of a relaxed structure of SrPb2Cl.

Lattice parameters (Å, degrees): 5.1480 5.1480 5.7875 90.00 90.00 90.00
Space group P4/mmm (No. 123)
Unique sites:
Sr (0.0000, 0.0000, 0.0000) (multiplicity 1)
Pb (0.5000, 0.5000, 0.2369) (multiplicity 2)
Cl (0.0000, 0.0000, 0.5000) (multiplicity 1)

Calculated values
Density of states at the Fermi level ... 0.61 states/eV per cell

***

## z
The following is a DFT calculation (PBE) of a relaxed structure of SrPb2Cl.

Lattice parameters (Å, degrees): 3.8126 3.8707 9.1942 90.00 90.19 90.00
Space group Pm (No. 6)
Unique sites:
Sr (0.0000, 0.0000, 0.0000) (multiplicity 1)
Pb (0.0044, 0.0000, 0.4688) (multiplicity 1)
Pb (0.5027, 0.5000, 0.2677) (multiplicity 1)
Cl (0.4986, 0.5000, 0.8512) (multiplicity 1)

Calculated values
Density of states at the Fermi level ... 1.39 states/eV per cell

***

Least stable = w

***

## w
The following is a DFT calculation (PBE) of a relaxed structure of Sr2PbCl.

Lattice parameters (Å, degrees): 8.3317 8.3317 8.7849 90.00 90.00 90.00
Space group I-42d (No. 122)
Unique sites:
Sr (0.2133, 0.2500, 0.1250) (multiplicity 8)
Pb (0.0000, 0.0000, 0.5000) (multiplicity 4)
Cl (0.0000, 0.0000, 0.0000) (multiplicity 4)

Calculated values
Density of states at the Fermi level ... 3.41 states/eV per cell

***

## x
The following is a DFT calculation (PBE) of a relaxed structure of Sr2PbCl.

Lattice parameters (Å, degrees): 4.2517 5.0956 6.6122 90.00 90.00 90.00
Space group Pmmm (No. 47)
Unique sites:
Sr (0.0000, 0.0000, 0.0000) (multiplicity 1)
Sr (0.5000, 0.5000, 0.5000) (multiplicity 1)
Pb (0.0000, 0.0000, 0.5000) (multiplicity 1)
Cl (0.5000, 0.5000, 0.0000) (multiplicity 1)

Calculated values
Density of states at the Fermi level ... 1.47 states/eV per cell

***

Least stable = w

***

## w
The following is a DFT calculation (PBE) of a relaxed structure of Sr2PbCl.

Lattice parameters (Å, degrees): 4.4794 6.9791 9.0897 90.00 90.00 90.00
Space group Immm (No. 71)
Unique sites:
Sr (0.0000, 0.0000, 0.2142) (multiplicity 4)
Pb (0.0000, 0.5000, 0.0000) (multiplicity 2)
Cl (0.0000, 0.5000, 0.5000) (multiplicity 2)

Calculated values
Density of states at the Fermi level ... 5.24 states/eV per cell

***

## x
The following is a DFT calculation (PBE) of a relaxed structure of Sr2PbCl.

Lattice parameters (Å, degrees): 12.9202 3.9935 5.4616 90.00 90.24 90.00
Space group Cm (No. 8)
Unique sites:
Sr (0.0000, 0.0000, 0.0000) (multiplicity 2)
Sr (0.2403, 0.5000, 0.4725) (multiplicity 2)
Pb (0.2693, 0.0000, 0.9690) (multiplicity 2)
Cl (0.0163, 0.5000, 0.4401) (multiplicity 2)

Calculated values
Density of states at the Fermi level ... 6.14 states/eV per cell

***

Least stable = w

***

## w
The following is a DFT calculation (PBE) of a relaxed structure of Sr2PbCl.

Lattice parameters (Å, degrees): 8.2092 8.2092 8.2092 90.00 90.00 90.00
Space group F-43m (No. 216)
Unique sites:
Sr (0.0000, 0.0000, 0.0000) (multiplicity 4)
Sr (0.2500, 0.2500, 0.2500) (multiplicity 4)
Pb (0.2500, 0.2500, 0.7500) (multiplicity 4)
Cl (0.0000, 0.0000, 0.5000) (multiplicity 4)

Calculated values
Density of states at the Fermi level ... 25.09 states/eV per cell

***

## x
The following is a DFT calculation (PBE) of a relaxed structure of Sr2PbCl.

Lattice parameters (Å, degrees): 4.0233 4.3794 16.3537 90.00 90.00 90.00
Space group Imm2 (No. 44)
Unique sites:
Sr (0.0000, 0.0000, 0.0000) (multiplicity 2)
Sr (0.0000, 0.5000, 0.2481) (multiplicity 2)
Pb (0.0000, 0.0000, 0.3991) (multiplicity 2)
Cl (0.0000, 0.5000, 0.6574) (multiplicity 2)

Calculated values
Density of states at the Fermi level ... 2.01 states/eV per cell

***

## y
The following is a DFT calculation (PBE) of a relaxed structure of Sr2PbCl.

Lattice parameters (Å, degrees): 3.9033 4.4785 8.4679 90.00 90.00 90.00
Space group Pmmm (No. 47)
Unique sites:
Sr (0.0000, 0.0000, 0.2246) (multiplicity 2)
Pb (0.5000, 0.5000, 0.0000) (multiplicity 1)
Cl (0.5000, 0.0000, 0.5000) (multiplicity 1)

Calculated values
Density of states at the Fermi level ... 1.19 states/eV per cell

***

## z
The following is a DFT calculation (PBE) of a relaxed structure of Sr2PbCl.

Lattice parameters (Å, degrees): 3.9377 3.9377 8.5478 90.00 90.00 90.00
Space group P4/mmm (No. 123)
Unique sites:
Sr (0.0000, 0.0000, 0.2426) (multiplicity 2)
Pb (0.5000, 0.5000, 0.0000) (multiplicity 1)
Cl (0.5000, 0.5000, 0.5000) (multiplicity 1)

Calculated values
Density of states at the Fermi level ... 0.96 states/eV per cell

***

Least stable = w

***

## w
The following is a DFT calculation (PBE) of a relaxed structure of Sr2PbCl.

Lattice parameters (Å, degrees): 5.9112 5.9112 4.0245 90.00 90.00 90.00
Space group P4/mmm (No. 123)
Unique sites:
Sr (0.0000, 0.5000, 0.0000) (multiplicity 2)
Pb (0.0000, 0.0000, 0.5000) (multiplicity 1)
Cl (0.5000, 0.5000, 0.0000) (multiplicity 1)

Calculated values
Density of states at the Fermi level ... 2.79 states/eV per cell

***

## x
The following is a DFT calculation (PBE) of a relaxed structure of Sr2PbCl.

Lattice parameters (Å, degrees): 8.3442 8.3443 3.7644 90.00 90.12 90.00
Space group C2/m (No. 12)
Unique sites:
Sr (0.2500, 0.2500, 0.0000) (multiplicity 4)
Pb (0.0000, 0.0000, 0.5000) (multiplicity 2)
Cl (0.0000, 0.5000, 0.5000) (multiplicity 2)

Calculated values
Density of states at the Fermi level ... 2.78 states/eV per cell

***

## y
The following is a DFT calculation (PBE) of a relaxed structure of Sr2PbCl.

Lattice parameters (Å, degrees): 4.4490 4.4490 25.5506 90.00 90.00 120.00
Space group R3m (No. 160, hexagonal axes)
Unique sites:
Sr (0.0000, 0.0000, 0.0000) (multiplicity 3)
Sr (0.0000, 0.0000, 0.1687) (multiplicity 3)
Pb (0.0000, 0.0000, 0.5849) (multiplicity 3)
Cl (0.0000, 0.0000, 0.7566) (multiplicity 3)

Calculated values
Density of states at the Fermi level ... 4.69 states/eV per cell

***

## z
The following is a DFT calculation (PBE) of a relaxed structure of Sr2PbCl.

Lattice parameters (Å, degrees): 7.9584 4.5181 8.3939 90.00 108.33 90.00
Space group C2/m (No. 12)
Unique sites:
Sr (0.2457, 0.0000, 0.2454) (multiplicity 4)
Pb (0.0000, 0.0000, 0.5000) (multiplicity 2)
Cl (0.0000, 0.5000, 0.0000) (multiplicity 2)

Calculated values
Density of states at the Fermi level ... 3.43 states/eV per cell

***

Least stable = y

***

## w
The following is a DFT calculation (PBE) of a relaxed structure of TaPbCl3.

Lattice parameters (Å, degrees): 5.6157 5.6157 5.6157 90.00 90.00 90.00
Space group Pm-3m (No. 221)
Unique sites:
Ta (0.0000, 0.0000, 0.0000) (multiplicity 1)
Pb (0.5000, 0.5000, 0.5000) (multiplicity 1)
Cl (0.0000, 0.5000, 0.5000) (multiplicity 3)

Calculated values
Density of states at the Fermi level ... 6.36 states/eV per cell

***

## x
The following is a DFT calculation (PBE) of a relaxed structure of TaPbCl3.

Lattice parameters (Å, degrees): 4.9316 4.9316 4.9316 90.00 90.00 90.00
Space group Pm-3m (No. 221)
Unique sites:
Ta (0.0000, 0.0000, 0.0000) (multiplicity 1)
Pb (0.5000, 0.5000, 0.5000) (multiplicity 1)
Cl (0.0000, 0.0000, 0.5000) (multiplicity 3)

Calculated values
Density of states at the Fermi level ... 4.99 states/eV per cell

***

Least stable = w

***

## w
The following is a DFT calculation (PBE) of a relaxed structure of TaPbCl.

Lattice parameters (Å, degrees): 4.7671 4.7671 3.1421 90.00 90.00 120.00
Space group P-6m2 (No. 187)
Unique sites:
Ta (0.0000, 0.0000, 0.0000) (multiplicity 1)
Pb (0.6667, 0.3333, 0.5000) (multiplicity 1)
Cl (0.3333, 0.6667, 0.0000) (multiplicity 1)

Calculated values
Density of states at the Fermi level ... 1.44 states/eV per cell

***

## x
The following is a DFT calculation (PBE) of a relaxed structure of TaPbCl.

Lattice parameters (Å, degrees): 6.7573 6.7573 6.7573 90.00 90.00 90.00
Space group F-43m (No. 216)
Unique sites:
Ta (0.0000, 0.0000, 0.0000) (multiplicity 4)
Pb (0.2500, 0.2500, 0.2500) (multiplicity 4)
Cl (0.2500, 0.2500, 0.7500) (multiplicity 4)

Calculated values
Density of states at the Fermi level ... 6.33 states/eV per cell

***

Least stable = x

***

## w
The following is a DFT calculation (PBE) of a relaxed structure of TaPbCl.

Lattice parameters (Å, degrees): 3.2080 3.2080 8.4316 90.00 90.00 120.00
Space group P3m1 (No. 156)
Unique sites:
Ta (0.0000, 0.0000, 0.0000) (multiplicity 1)
Pb (0.3333, 0.6667, 0.6940) (multiplicity 1)
Cl (0.6667, 0.3333, 0.2030) (multiplicity 1)

Calculated values
Density of states at the Fermi level ... 0.79 states/eV per cell

***

## x
The following is a DFT calculation (PBE) of a relaxed structure of TaPbCl.

Lattice parameters (Å, degrees): 6.5819 6.5819 6.5819 90.00 90.00 90.00
Space group F-43m (No. 216)
Unique sites:
Ta (0.0000, 0.0000, 0.0000) (multiplicity 4)
Pb (0.0000, 0.0000, 0.5000) (multiplicity 4)
Cl (0.2500, 0.2500, 0.7500) (multiplicity 4)

Calculated values
Density of states at the Fermi level ... 3.16 states/eV per cell

***

## y
The following is a DFT calculation (PBE) of a relaxed structure of TaPbCl.

Lattice parameters (Å, degrees): 3.0661 3.0661 15.6752 90.00 90.00 90.00
Space group I4mm (No. 107)
Unique sites:
Ta (0.0000, 0.0000, 0.0000) (multiplicity 2)
Pb (0.0000, 0.0000, 0.6520) (multiplicity 2)
Cl (0.0000, 0.0000, 0.3978) (multiplicity 2)

Calculated values
Density of states at the Fermi level ... 2.28 states/eV per cell

***

Least stable = x

***

## w
The following is a DFT calculation (PBE) of a relaxed structure of TaPb3Cl.

Lattice parameters (Å, degrees): 5.3541 5.3541 5.3541 90.00 90.00 90.00
Space group Pm-3m (No. 221)
Unique sites:
Ta (0.0000, 0.0000, 0.0000) (multiplicity 1)
Pb (0.0000, 0.5000, 0.5000) (multiplicity 3)
Cl (0.5000, 0.5000, 0.5000) (multiplicity 1)

Calculated values
Density of states at the Fermi level ... 4.02 states/eV per cell

***

## x
The following is a DFT calculation (PBE) of a relaxed structure of TaPb3Cl.

Lattice parameters (Å, degrees): 5.5098 5.5098 5.5098 90.00 90.00 90.00
Space group Pm-3m (No. 221)
Unique sites:
Ta (0.0000, 0.0000, 0.0000) (multiplicity 1)
Pb (0.0000, 0.0000, 0.5000) (multiplicity 3)
Cl (0.5000, 0.5000, 0.5000) (multiplicity 1)

Calculated values
Density of states at the Fermi level ... 2.94 states/eV per cell

***

Least stable = w